# 1
KBePtO5 PBE relaxed; Fermi-level density of states = 9.8 states/eV per cell; formation energy (no corrections) = -0.9015 eV per atom; uncorrected energy = -85.74 eV for the cell shown
1.0
-2.8065 -4.4964 2.1853
2.9158 -2.0081 -4.5095
4.9555 1.9316 4.9536
K Be Pt O
2 2 2 10
direct
0.3440 0.6560 0.2500 K
0.6560 0.3440 0.7500 K
0.7014 0.2986 0.2500 Be
0.2986 0.7014 0.7500 Be
0.0000 0.0000 0.5000 Pt
0.0000 0.0000 0.0000 Pt
0.0767 0.9233 0.2500 O
0.9233 0.0767 0.7500 O
0.8953 0.2877 0.1261 O
0.1047 0.7123 0.8739 O
0.7123 0.1047 0.3739 O
0.2877 0.8953 0.6261 O
0.7856 0.6210 0.3999 O
0.2144 0.3790 0.6001 O
0.3790 0.2144 0.1001 O
0.6210 0.7856 0.8999 O

***

# 2
ScTl3As PBE relaxed; Fermi-level density of states = 5.1 states/eV per cell; formation energy from the elements = 0.55 eV per atom; uncorrected energy = -15.32 eV for the cell shown
1.0
-0.5124 -2.7168 -4.6871
5.0386 1.4909 -1.4149
1.9905 -4.4731 2.3752
Sc Tl As
1 3 1
direct
0.5000 0.5000 0.5000 Sc
0.0000 0.5000 0.0000 Tl
0.0000 0.0000 0.5000 Tl
0.5000 0.0000 0.0000 Tl
0.0000 0.0000 0.0000 As

***

# 3
Cd2BAuBr PBE relaxed; Fermi-level density of states = 3.0 states/eV per cell; formation energy (no corrections) = 0.1789 eV per atom; uncorrected energy = -12.56 eV for the cell shown
1.0
5.0054 0.0000 0.0000
0.0000 4.2170 0.0000
0.0000 0.0000 5.0054
B Au Br Cd
1 1 1 2
direct
0.0000 0.0000 0.0000 B
0.0000 0.5000 0.0000 Au
0.5000 0.5000 0.5000 Br
0.0000 0.0000 0.5000 Cd
0.5000 0.0000 0.0000 Cd